1.
Dy2SeI2 after structural relaxation, computed with PBE.

Results
- SG = C2/m (12)
- spin magnetization (μB per formula unit) = 0.0
- ΔE_f (raw) (eV per atom) = -1.505

Cell lengths 4.1872, 4.1859, 11.8677 Å; angles 81.01, 79.84, 59.99 degrees
Closest atoms and distances in Å follow each position.
Positions (direct):
Dy: 0.7135 0.1993 0.3738  3 Se 2.83, 3 I 3.14
Dy: 0.2865 0.8007 0.6262  3 Se 2.83, 3 I 3.14
Se: 0.0000 0.5000 0.5000  6 Dy 2.83
I: 0.4442 0.9104 0.2012  3 Dy 3.14
I: 0.5558 0.0896 0.7988  3 Dy 3.14


2.
BaBeAl after structural relaxation, computed with PBE.

Results
- SG = F-43m (216)
- spin magnetization (μB per formula unit) = 0.0
- ΔE to the lowest computed polymorph (kJ per mole of atoms) = 110.2

Cell lengths 5.2186, 5.2186, 5.2186 Å; angles 60.00, 60.00, 60.00 degrees
Closest atoms and distances in Å follow each position.
Positions (direct):
Be: 0.0000 0.0000 0.0000  4 Ba 3.20
Ba: 0.7500 0.7500 0.7500  4 Al 3.20, 4 Be 3.20
Al: 0.5000 0.5000 0.5000  4 Ba 3.20


3.
Th6Ge5Au after structural relaxation, computed with PBE.

Results
- SG = C2/m (12)
- spin magnetization (μB per formula unit) = 0.0
- total energy (eV per atom) = -6.62

Cell lengths 7.4553, 7.4553, 7.4620 Å; angles 99.51, 99.51, 119.97 degrees
Closest atoms and distances in Å follow each position.
Positions (direct):
Ge: 0.8341 0.1659 0.5000  6 Th 2.99-3.06
Ge: 0.6670 0.3330 0.0000  6 Th 3.03-3.05
Ge: 0.5000 0.5000 0.5000  6 Th 2.98-3.06
Ge: 0.3330 0.6670 0.0000  6 Th 3.03-3.05
Ge: 0.1659 0.8341 0.5000  6 Th 2.99-3.06
Au: 0.0000 0.0000 0.0000  6 Th 3.11-3.12
Th: 0.4272 0.0853 0.2538  5 Ge 2.99-3.06, 1 Au 3.12
Th: 0.9147 0.5728 0.7462  5 Ge 2.99-3.06, 1 Au 3.12
Th: 0.2562 0.2562 0.7453  5 Ge 2.98-3.05, 1 Au 3.11
Th: 0.7438 0.7438 0.2547  5 Ge 2.98-3.05, 1 Au 3.11
Th: 0.0853 0.4272 0.2538  5 Ge 2.99-3.06, 1 Au 3.12
Th: 0.5728 0.9147 0.7462  5 Ge 2.99-3.06, 1 Au 3.12


4.
CsCdCoHg2 after structural relaxation, computed with PBE.

Results
- SG = P4/mmm (123)
- spin magnetization (μB per formula unit) = 1.0
- total energy (eV per atom) = -1.52

Cell lengths 5.2388, 5.9488, 5.2388 Å; angles 90.00, 90.00, 90.00 degrees
Closest atoms and distances in Å follow each position.
Positions (direct):
Cs: 0.0000 0.5000 0.0000  2 Co 2.97
Co: 0.0000 0.0000 0.0000  4 Hg 2.62
Hg: 0.0000 0.0000 0.5000  2 Co 2.62
Hg: 0.5000 0.0000 0.0000  2 Co 2.62
Cd: 0.5000 0.5000 0.5000  4 Cs 3.70, 8 Hg 3.96


5.
Er2ZrSb after structural relaxation, computed with PBE.

Results
- SG = P4/mmm (123)
- spin magnetization (μB per formula unit) = 0.0
- ΔE_f (raw) (eV per atom) = -0.386

Cell lengths 4.5601, 4.6840, 4.6840 Å; angles 90.00, 90.00, 90.00 degrees
Closest atoms and distances in Å follow each position.
Positions (direct):
Sb: 0.5000 0.0000 0.0000  8 Er 3.27, 4 Zr 3.31
Zr: 0.5000 0.5000 0.5000  8 Er 3.27, 4 Sb 3.31
Er: 0.0000 0.0000 0.5000  4 Zr 3.27, 4 Sb 3.27, 4 Er 3.31
Er: 0.0000 0.5000 0.0000  4 Zr 3.27, 4 Sb 3.27, 4 Er 3.31